## Cu2RuPt (GGA-PBEsol)

Data for a relaxed structure of Cu2RuPt.

POSCAR file:
```
Cu2RuPt
1.0
2.637 0.000 0.000
0.000 4.409 0.000
0.000 0.000 4.547
Cu Pt Ru
2 1 1
Cartesian
0.000 0.000 0.000
1.318 0.000 2.274
1.318 2.205 0.000
0.000 2.205 2.274
```

Properties
The energy above the most stable polymorph in this dataset comes out at 0.301 eV per formula unit. For the calculated formation energy, the calculation gives 197 meV/atom. The value obtained for the total energy is -25.0 eV per cell. Its space group is Pmmm.